Below is a geometry-optimized GdZrNi2 structure, with properties calculated at the PBE level.

Output
**Formation enthalpy at 0 K**: -0.27 eV per atom
**Magnetic moment**: 1.820 μB per atom
**Calculated total energy**: -35.3 eV per cell

abc: 4.6806 4.6806 4.6806
angles: 60.00 60.00 60.00
Last column: nearest neighbours and their distance in Å.
Positions (direct):
Gd  0.0000  0.0000  0.0000  8 Ni 2.87
Zr  0.5000  0.5000  0.5000  8 Ni 2.87
Ni  0.2500  0.2500  0.2500  4 Gd 2.87, 4 Zr 2.87
Ni  0.7500  0.7500  0.7500  4 Gd 2.87, 4 Zr 2.87

Below is a geometry-optimized GdNp3 structure, with properties calculated at the PBE level.

Output
**Formation enthalpy at 0 K**: 0.75 eV per atom
**Magnetic moment**: 4.287 μB per atom
**Calculated total energy**: -49.9 eV per cell

abc: 4.5371 4.5371 4.5371
angles: 90.00 90.00 90.00
Last column: nearest neighbours and their distance in Å.
Positions (direct):
Gd  0.0000  0.0000  0.0000  12 Np 3.21
Np  0.0000  0.5000  0.5000  4 Gd 3.21, 8 Np 3.21
Np  0.5000  0.0000  0.5000  4 Gd 3.21, 8 Np 3.21
Np  0.5000  0.5000  0.0000  4 Gd 3.21, 8 Np 3.21

Below is a geometry-optimized GdNpP2 structure, with properties calculated at the PBE level.

Output
**Formation enthalpy at 0 K**: -1.22 eV per atom
**Magnetic moment**: 0.834 μB per atom
**Calculated total energy**: -42.7 eV per cell

abc: 6.9475 6.9475 6.9475
angles: 33.41 33.41 33.41
Last column: nearest neighbours and their distance in Å.
Positions (direct):
Gd  0.0000  0.0000  0.0000  6 P 2.86
Np  0.5000  0.5000  0.5000  6 P 2.79
P  0.2470  0.2470  0.2470  3 Np 2.79, 3 Gd 2.86
P  0.7530  0.7530  0.7530  3 Np 2.79, 3 Gd 2.86

Below is a geometry-optimized GdNpPdPt structure, with properties calculated at the PBE level.

Output
**Formation enthalpy at 0 K**: -0.58 eV per atom
**Magnetic moment**: 2.873 μB per atom
**Calculated total energy**: -40.6 eV per cell

abc: 4.9776 4.9776 4.9776
angles: 60.00 60.00 60.00
Last column: nearest neighbours and their distance in Å.
Positions (direct):
Gd  0.0000  0.0000  0.0000  4 Pd 3.05, 4 Pt 3.05
Np  0.5000  0.5000  0.5000  4 Pd 3.05, 4 Pt 3.05
Pd  0.7500  0.7500  0.7500  4 Gd 3.05, 4 Np 3.05
Pt  0.2500  0.2500  0.2500  4 Gd 3.05, 4 Np 3.05